KPdRu2 | Alexandria via LeMat-Bulk | PBE-GGA | optimized geometry; SG = I-42d, No. 122; energy relative to the lowest polymorph listed for this composition = 0.0 kJ/mol of atoms; formation energy = 1.12 eV/atom; E_tot = -40.71 eV for the cell shown
1.0
-2.080 2.080 9.983
2.080 -2.080 9.983
2.080 2.080 -9.983
K Pd Ru
2 2 4
direct
0.000 0.000 0.000
0.750 0.250 0.500
0.250 0.750 0.500
0.500 0.500 0.000
0.248 0.625 0.123
0.375 0.498 0.623
0.502 0.125 0.877
0.875 0.752 0.377